No. 1
# Al2Cu meta-GGA SCAN single point on PBEsol structure
# **VASP energy**: -10.49 eV/atom
# **Total magnetization**: 0.01 μB/f.u.
# **Energy of formation from the pure elements**: -0.256 eV per atom
data_Al2Cu
_chemical_formula_sum 'Al8 Cu4'
_cell_length_a 6.007
_cell_length_b 6.007
_cell_length_c 4.799
_cell_angle_alpha 90.00
_cell_angle_beta 90.00
_cell_angle_gamma 90.00
_space_group_name_H-M_alt 'I 4/m c m'
_space_group_IT_number 140
_space_group_name_Hall '-I 4 2c'
loop_
_atom_site_label
_atom_site_type_symbol
_atom_site_fract_x
_atom_site_fract_y
_atom_site_fract_z
_atom_site_occupancy
Al1 Al 0.158 0.342 0.000 1
Cu1 Cu 0.000 0.000 0.250 1


No. 2
# SrTeSeN2 meta-GGA SCAN single point on PBEsol structure
# **VASP energy**: -18.45 eV/atom
# **Total magnetization**: 5.01 μB/f.u.
# **Excess energy over the best structure of this formula in the dataset**: 873 meV per atom
data_SrTeSeN2
_chemical_formula_sum 'Sr1 Te1 Se1 N2'
_cell_length_a 4.646
_cell_length_b 4.646
_cell_length_c 6.097
_cell_angle_alpha 90.00
_cell_angle_beta 90.00
_cell_angle_gamma 90.00
_space_group_name_H-M_alt 'P 4/m m m'
_space_group_IT_number 123
_space_group_name_Hall '-P 4 2'
loop_
_atom_site_label
_atom_site_type_symbol
_atom_site_fract_x
_atom_site_fract_y
_atom_site_fract_z
_atom_site_occupancy
Sr1 Sr 0.000 0.000 0.000 1
Te1 Te 0.500 0.500 0.500 1
Se1 Se 0.000 0.000 0.500 1
N1 N 0.000 0.500 0.000 1


No. 3
# BeBr3 meta-GGA SCAN single point on PBEsol structure
# **VASP energy**: -15.92 eV/atom
# **Total magnetization**: 0.00 μB/f.u.
# **Excess energy over the best structure of this formula in the dataset**: 195 meV per atom
data_BeBr3
_chemical_formula_sum 'Be1 Br3'
_cell_length_a 3.2997
_cell_length_b 3.2997
_cell_length_c 10.1311
_cell_angle_alpha 90.00
_cell_angle_beta 90.00
_cell_angle_gamma 120.00
_space_group_name_H-M_alt 'P -6 m 2'
_space_group_IT_number 187
_space_group_name_Hall 'P -6 2'
loop_
_atom_site_label
_atom_site_type_symbol
_atom_site_fract_x
_atom_site_fract_y
_atom_site_fract_z
_atom_site_occupancy
Be1 Be 0.0000 0.0000 0.0000 1
Br1 Br 0.0000 0.0000 0.5000 1
Br2 Br 0.3333 0.6667 0.1511 1


No. 4
# TlAs2Os meta-GGA SCAN single point on PBEsol structure
# **VASP energy**: -46.03 eV/atom
# **Total magnetization**: 0.00 μB/f.u.
# **Energy of formation from the pure elements**: 0.126 eV per atom
# **Excess energy over the best structure of this formula in the dataset**: 0 meV per atom
data_TlAs2Os
_chemical_formula_sum 'Tl2 As4 Os2'
_cell_length_a 3.037
_cell_length_b 3.053
_cell_length_c 17.471
_cell_angle_alpha 90.00
_cell_angle_beta 90.00
_cell_angle_gamma 90.00
_space_group_name_H-M_alt 'I m m 2'
_space_group_IT_number 44
loop_
_space_group_symop_operation_xyz
'x,y,z'
'-x,-y,z'
'-x,y,z'
'x,-y,z'
'x+1/2,y+1/2,z+1/2'
'-x+1/2,-y+1/2,z+1/2'
'-x+1/2,y+1/2,z+1/2'
'x+1/2,-y+1/2,z+1/2'
loop_
_atom_site_label
_atom_site_type_symbol
_atom_site_fract_x
_atom_site_fract_y
_atom_site_fract_z
_atom_site_occupancy
Tl1 Tl 0.000 0.000 0.000 1
As1 As 0.000 0.000 0.648 1
As2 As 0.000 0.500 0.837 1
Os1 Os 0.000 0.500 0.260 1


No. 5
# BaTe2Os meta-GGA SCAN single point on PBEsol structure
# **VASP energy**: -46.40 eV/atom
# **Total magnetization**: 1.79 μB/f.u.
# **Excess energy over the best structure of this formula in the dataset**: 191 meV per atom
data_BaTe2Os
_chemical_formula_sum 'Ba2 Te4 Os2'
_cell_length_a 4.342
_cell_length_b 6.449
_cell_length_c 7.947
_cell_angle_alpha 90.00
_cell_angle_beta 90.00
_cell_angle_gamma 90.00
_space_group_name_H-M_alt 'C m m m'
_space_group_IT_number 65
_space_group_name_Hall '-C 2 2'
loop_
_atom_site_label
_atom_site_type_symbol
_atom_site_fract_x
_atom_site_fract_y
_atom_site_fract_z
_atom_site_occupancy
Ba1 Ba 0.000 0.000 0.000 1
Te1 Te 0.000 0.500 0.304 1
Os1 Os 0.000 0.000 0.500 1


No. 6
# MgMo2Pt meta-GGA SCAN single point on PBEsol structure
# **VASP energy**: -36.46 eV/atom
# **Total magnetization**: 0.00 μB/f.u.
# **Energy of formation from the pure elements**: -0.226 eV per atom
data_MgMo2Pt
_chemical_formula_sum 'Mg2 Mo4 Pt2'
_cell_length_a 3.456
_cell_length_b 3.957
_cell_length_c 8.907
_cell_angle_alpha 90.00
_cell_angle_beta 90.00
_cell_angle_gamma 90.00
_space_group_name_H-M_alt 'I m m m'
_space_group_IT_number 71
_space_group_name_Hall '-I 2 2'
loop_
_atom_site_label
_atom_site_type_symbol
_atom_site_fract_x
_atom_site_fract_y
_atom_site_fract_z
_atom_site_occupancy
Mg1 Mg 0.000 0.000 0.000 1
Mo1 Mo 0.000 0.500 0.249 1
Pt1 Pt 0.000 0.000 0.500 1


No. 7
# NaIn2Si2 meta-GGA SCAN single point on PBEsol structure
# **VASP energy**: -18.00 eV/atom
# **Total magnetization**: 0.00 μB/f.u.
data_NaIn2Si2
_chemical_formula_sum 'Na2 In4 Si4'
_cell_length_a 4.554
_cell_length_b 4.554
_cell_length_c 11.423
_cell_angle_alpha 90.00
_cell_angle_beta 90.00
_cell_angle_gamma 90.00
_space_group_name_H-M_alt 'I 4/m m m'
_space_group_IT_number 139
_space_group_name_Hall '-I 4 2'
loop_
_atom_site_label
_atom_site_type_symbol
_atom_site_fract_x
_atom_site_fract_y
_atom_site_fract_z
_atom_site_occupancy
Na1 Na 0.000 0.000 0.000 1
In1 In 0.000 0.000 0.379 1
Si1 Si 0.000 0.500 0.250 1


No. 8
# YTaZn2Te meta-GGA SCAN single point on PBEsol structure
# **VASP energy**: -30.52 eV/atom
# **Total magnetization**: 3.21 μB/f.u.
data_YTaZn2Te
_chemical_formula_sum 'Y1 Ta1 Zn2 Te1'
_cell_length_a 4.926
_cell_length_b 4.926
_cell_length_c 5.540
_cell_angle_alpha 90.00
_cell_angle_beta 90.00
_cell_angle_gamma 90.00
_space_group_name_H-M_alt 'P 4/m m m'
_space_group_IT_number 123
_space_group_name_Hall '-P 4 2'
loop_
_atom_site_label
_atom_site_type_symbol
_atom_site_fract_x
_atom_site_fract_y
_atom_site_fract_z
_atom_site_occupancy
Y1 Y 0.000 0.000 0.000 1
Ta1 Ta 0.500 0.500 0.000 1
Zn1 Zn 0.000 0.500 0.500 1
Te1 Te 0.000 0.000 0.500 1


No. 9
# K2OsW2 meta-GGA SCAN single point on PBEsol structure
# **VASP energy**: -43.78 eV/atom
# **Total magnetization**: 0.78 μB/f.u.
# **Energy of formation from the pure elements**: 1.800 eV per atom
data_K2OsW2
_chemical_formula_sum 'K4 Os2 W4'
_cell_length_a 3.585
_cell_length_b 3.585
_cell_length_c 16.278
_cell_angle_alpha 90.00
_cell_angle_beta 90.00
_cell_angle_gamma 90.00
_space_group_name_H-M_alt 'I 4/m m m'
_space_group_IT_number 139
_space_group_name_Hall '-I 4 2'
loop_
_atom_site_label
_atom_site_type_symbol
_atom_site_fract_x
_atom_site_fract_y
_atom_site_fract_z
_atom_site_occupancy
K1 K 0.000 0.500 0.250 1
Os1 Os 0.000 0.000 0.000 1
W1 W 0.000 0.000 0.431 1


No. 10
# K3Ba meta-GGA SCAN single point on PBEsol structure
# **VASP energy**: -16.04 eV/atom
# **Total magnetization**: 0.15 μB/f.u.
# **Energy of formation from the pure elements**: 0.090 eV per atom
data_K3Ba
_chemical_formula_sum 'K6 Ba2'
_cell_length_a 9.188
_cell_length_b 13.002
_cell_length_c 4.502
_cell_angle_alpha 90.00
_cell_angle_beta 90.00
_cell_angle_gamma 90.00
_space_group_name_H-M_alt 'C m m m'
_space_group_IT_number 65
_space_group_name_Hall '-C 2 2'
loop_
_atom_site_label
_atom_site_type_symbol
_atom_site_fract_x
_atom_site_fract_y
_atom_site_fract_z
_atom_site_occupancy
K1 K 0.000 0.000 0.000 1
K2 K 0.250 0.250 0.500 1
Ba1 Ba 0.000 0.500 0.000 1


No. 11
# TaCr2Co meta-GGA SCAN single point on PBEsol structure
# **VASP energy**: -30.23 eV/atom
# **Total magnetization**: 2.13 μB/f.u.
# **Energy of formation from the pure elements**: -0.066 eV per atom
# **Excess energy over the best structure of this formula in the dataset**: 0 meV per atom
data_TaCr2Co
_chemical_formula_sum 'Ta1 Cr2 Co1'
_cell_length_a 3.003
_cell_length_b 4.068
_cell_length_c 4.159
_cell_angle_alpha 90.00
_cell_angle_beta 90.00
_cell_angle_gamma 90.00
_space_group_name_H-M_alt 'P m m m'
_space_group_IT_number 47
loop_
_space_group_symop_operation_xyz
'x,y,z'
'-x,-y,-z'
'-x,-y,z'
'x,y,-z'
'x,-y,-z'
'-x,y,z'
'-x,y,-z'
'x,-y,z'
loop_
_atom_site_label
_atom_site_type_symbol
_atom_site_fract_x
_atom_site_fract_y
_atom_site_fract_z
_atom_site_occupancy
Ta1 Ta 0.000 0.000 0.000 1
Cr1 Cr 0.000 0.500 0.500 1
Cr2 Cr 0.500 0.000 0.500 1
Co1 Co 0.500 0.500 0.000 1


No. 12
# ReNiCl2 meta-GGA SCAN single point on PBEsol structure
# **VASP energy**: -24.50 eV/atom
# **Total magnetization**: 3.01 μB/f.u.
# **Excess energy over the best structure of this formula in the dataset**: 1051 meV per atom
data_ReNiCl2
_chemical_formula_sum 'Re4 Ni4 Cl8'
_cell_length_a 6.247
_cell_length_b 6.247
_cell_length_c 6.247
_cell_angle_alpha 90.00
_cell_angle_beta 90.00
_cell_angle_gamma 90.00
_space_group_name_H-M_alt 'F -4 3 m'
_space_group_IT_number 216
_space_group_name_Hall 'F -4 2 3'
loop_
_atom_site_label
_atom_site_type_symbol
_atom_site_fract_x
_atom_site_fract_y
_atom_site_fract_z
_atom_site_occupancy
Re1 Re 0.000 0.000 0.000 1
Ni1 Ni 0.250 0.250 0.750 1
Cl1 Cl 0.000 0.000 0.500 1
Cl2 Cl 0.250 0.250 0.250 1